Record 1
Entry from Alexandria: NaCd2Ag after structural relaxation (PBE).

## Properties
- total magnetization (μB per cell) = 0.00
- DOS(E_F) (states/eV/atom) = 0.29
- theoretical density (Mg/m³) = 6.21
- E (eV for the cell shown) = -25.5

a b c (Å): 4.4783 10.5386 8.0607
angles (deg): 90.00 90.00 90.00
Last column: nearest neighbours and their distance in Å.
Space group Cmcm (No. 63)
Unique sites:
Na 0.0000 0.0648 0.2500 (multiplicity 4)  3 Ag 3.09-3.12, 8 Cd 3.42-3.45
Cd 0.0000 0.3644 0.0574 (multiplicity 8)  3 Ag 2.86-2.90, 2 Cd 3.00-3.10
Ag 0.0000 0.2287 0.7500 (multiplicity 4)  6 Cd 2.86-2.90, 3 Na 3.09-3.12

Record 2
Entry from Alexandria: NaCd3Ag5 after structural relaxation (PBE).

## Properties
- total magnetization (μB per cell) = 0.00
- DOS(E_F) (states/eV/atom) = 0.40
- theoretical density (Mg/m³) = 8.35
- E (eV for the cell shown) = -36.6

a b c (Å): 8.4104 8.4104 5.8416
angles (deg): 90.00 90.00 120.00
Last column: nearest neighbours and their distance in Å.
Space group P6_3/mcm (No. 193)
Unique sites:
Na 0.0000 0.0000 0.0000 (multiplicity 2)  2 Na 2.92, 6 Ag 3.13, 6 Cd 3.23
Cd 0.0000 0.3426 0.2500 (multiplicity 6)  5 Ag 2.76-2.92
Ag 0.0000 0.3289 0.7500 (multiplicity 6)  5 Cd 2.76-2.92
Ag 0.3333 0.6667 0.0000 (multiplicity 4)  8 Ag 2.92-3.18, 6 Cd 3.13

Record 3
Entry from Alexandria: NaCd5Ag8 after structural relaxation (PBE).

## Properties
- total magnetization (μB per cell) = 0.00
- DOS(E_F) (states/eV/atom) = 0.20
- theoretical density (Mg/m³) = 8.13
- E (eV for the cell shown) = -56.6

a b c (Å): 8.1160 8.1160 8.9783
angles (deg): 90.00 90.00 90.00
Last column: nearest neighbours and their distance in Å.
Space group I-4 (No. 82)
Unique sites:
Na 0.0000 0.0000 0.0000 (multiplicity 2)  4 Ag 2.97
Cd 0.0000 0.5000 0.7500 (multiplicity 2)  8 Ag 2.78-2.98
Cd 0.1442 0.7169 0.3234 (multiplicity 8)  8 Ag 2.85-3.06
Ag 0.0721 0.8360 0.6342 (multiplicity 8)  5 Ag 2.88-3.17, 5 Cd 2.89-3.06
Ag 0.0985 0.6486 0.0147 (multiplicity 8)  5 Cd 2.78-2.95, 3 Ag 2.88-2.95, 1 Na 2.97

Record 4
Entry from Alexandria: NaCd12Ag6 after structural relaxation (PBE).

## Properties
- total magnetization (μB per cell) = 0.00
- DOS(E_F) (states/eV/atom) = 0.27
- polymorph energy (0 for the lowest one) (eV per atom) = 0.000
- theoretical density (Mg/m³) = 8.51
- E (eV for the cell shown) = -90.0

a b c (Å): 10.2849 10.2849 12.9028
angles (deg): 90.00 90.00 120.00
Last column: nearest neighbours and their distance in Å.
Space group R-3 (No. 148, hexagonal axes)
Unique sites:
Na 0.0000 0.0000 0.0000 (multiplicity 3)  6 Ag 2.91, 6 Cd 3.03
Cd 0.0361 0.1861 0.8086 (multiplicity 18)  5 Cd 2.94-3.21, 4 Ag 2.98-3.14, 1 Na 3.03
Cd 0.0611 0.8414 0.4154 (multiplicity 18)  4 Ag 2.90-3.05, 5 Cd 2.97-3.21
Ag 0.0230 0.4361 0.7022 (multiplicity 18)  8 Cd 2.90-3.14, 1 Na 2.91, 2 Ag 3.01

Record 5
Entry from Alexandria: Na4Cd4Ag after structural relaxation (PBE).

## Properties
- total magnetization (μB per cell) = 0.00
- DOS(E_F) (states/eV/atom) = 0.50
- polymorph energy (0 for the lowest one) (eV per atom) = 0.112
- theoretical density (Mg/m³) = 4.35
- E (eV for the cell shown) = -22.2

a b c (Å): 5.9873 5.9873 13.8345
angles (deg): 90.00 90.00 90.00
Last column: nearest neighbours and their distance in Å.
Space group I-42m (No. 121)
Unique sites:
Na 0.0000 0.0000 0.1123 (multiplicity 4)  4 Cd 2.98-3.08, 1 Na 3.11
Na 0.0000 0.5000 0.0000 (multiplicity 4)  2 Ag 2.99
Cd 0.1725 0.1725 0.6917 (multiplicity 8)  1 Cd 2.92, 2 Na 2.98-3.08, 1 Ag 3.03
Ag 0.0000 0.0000 0.5000 (multiplicity 2)  4 Na 2.99, 4 Cd 3.03

Record 6
Entry from Alexandria: NaCd4Ag4 after structural relaxation (PBE).

## Properties
- total magnetization (μB per cell) = 0.00
- DOS(E_F) (states/eV/atom) = 0.37
- theoretical density (Mg/m³) = 6.39
- E (eV for the cell shown) = -31.5

a b c (Å): 9.6360 9.6360 5.0595
angles (deg): 90.00 90.00 90.00
Last column: nearest neighbours and their distance in Å.
Space group I4/m (No. 87)
Unique sites:
Na 0.0000 0.0000 0.0000 (multiplicity 2)  4 Ag 3.57, 4 Cd 3.86
Cd 0.0989 0.3884 0.0000 (multiplicity 8)  5 Ag 2.74-3.05, 1 Cd 2.87
Ag 0.1882 0.3004 0.5000 (multiplicity 8)  5 Cd 2.74-3.05, 2 Ag 2.96

Record 7
Entry from Alexandria: Na2Cd2Ag3 after structural relaxation (PBE).

## Properties
- total magnetization (μB per cell) = 0.00
- DOS(E_F) (states/eV/atom) = 0.19
- polymorph energy (0 for the lowest one) (eV per atom) = 0.000
- theoretical density (Mg/m³) = 6.75
- E (eV for the cell shown) = -26.7

a b c (Å): 10.0850 4.6691 6.2189
angles (deg): 90.00 93.51 90.00
Last column: nearest neighbours and their distance in Å.
Space group C2/m (No. 12)
Unique sites:
Na 0.0630 0.0000 0.2338 (multiplicity 4)  6 Ag 2.95-3.17, 5 Cd 3.08-3.26, 1 Na 3.10
Cd 0.1497 0.5000 0.9089 (multiplicity 4)  4 Ag 2.88-3.00, 1 Na 3.08
Ag 0.0000 0.5000 0.5000 (multiplicity 2)  2 Cd 2.88, 2 Ag 2.89, 4 Na 2.95
Ag 0.2334 0.0000 0.6459 (multiplicity 4)  3 Ag 2.89-2.99, 3 Cd 2.94-3.00, 4 Na 3.00-3.17

Record 8
Entry from Alexandria: Na8Cd3Ag after structural relaxation (PBE).

## Properties
- total magnetization (μB per cell) = 0.00
- DOS(E_F) (states/eV/atom) = 0.36
- theoretical density (Mg/m³) = 2.58
- E (eV for the cell shown) = -62.0

a b c (Å): 10.5290 10.5598 14.5654
angles (deg): 90.00 90.00 90.00
Last column: nearest neighbours and their distance in Å.
Space group Fmmm (No. 69)
Unique sites:
Na 0.0000 0.2430 0.1212 (multiplicity 16)  1 Ag 3.11, 3 Cd 3.23-3.24
Na 0.2430 0.0000 0.1220 (multiplicity 16)  1 Ag 3.11, 3 Cd 3.23-3.24
Cd 0.0000 0.0000 0.5000 (multiplicity 4)  8 Na 3.24
Cd 0.2500 0.2500 0.2500 (multiplicity 8)  8 Na 3.23
Ag 0.0000 0.0000 0.0000 (multiplicity 4)  8 Na 3.11

Record 9
Entry from Alexandria: NaCd2Ag after structural relaxation (PBE).

## Properties
- total magnetization (μB per cell) = 0.00
- DOS(E_F) (states/eV/atom) = 0.34
- theoretical density (Mg/m³) = 5.82
- E (eV for the cell shown) = -22.9

a b c (Å): 8.3234 8.3234 5.8583
angles (deg): 90.00 90.00 90.00
Last column: nearest neighbours and their distance in Å.
Space group I-42d (No. 122)
Unique sites:
Na 0.0000 0.0000 0.0000 (multiplicity 4)  2 Ag 2.93, 4 Cd 3.26
Cd 0.2110 0.2500 0.6250 (multiplicity 8)  2 Ag 2.82, 2 Cd 3.00
Ag 0.0000 0.0000 0.5000 (multiplicity 4)  4 Cd 2.82, 2 Na 2.93

Record 10
Entry from Alexandria: NaCdAg3 after structural relaxation (PBE).

## Properties
- total magnetization (μB per cell) = 0.00
- DOS(E_F) (states/eV/atom) = 0.28
- polymorph energy (0 for the lowest one) (eV per atom) = 0.000
- theoretical density (Mg/m³) = 7.22
- E (eV for the cell shown) = -21.9

a b c (Å): 4.7064 5.5394 8.4195
angles (deg): 91.35 105.72 90.37
Last column: nearest neighbours and their distance in Å.
Space group P1 (No. 1)
Unique sites:
Na 0.0000 0.0000 0.0000 (multiplicity 1)  6 Ag 2.96-3.12
Na 0.2650 0.4702 0.5187 (multiplicity 1)  6 Ag 2.96-3.12
Cd 0.4666 0.4274 0.9294 (multiplicity 1)  7 Ag 2.82-3.14
Cd 0.7986 0.0439 0.5896 (multiplicity 1)  7 Ag 2.82-3.13
Ag 0.0764 0.4955 0.1463 (multiplicity 1)  5 Ag 2.84-3.14, 2 Cd 2.94-2.97, 3 Na 2.96-3.06
Ag 0.1891 0.9748 0.3727 (multiplicity 1)  5 Ag 2.84-3.14, 2 Cd 2.94-2.97, 3 Na 2.96-3.06
Ag 0.3796 0.9027 0.7552 (multiplicity 1)  3 Cd 2.82-3.02, 3 Ag 2.98-3.14, 3 Na 3.03-3.12
Ag 0.6326 0.2347 0.2591 (multiplicity 1)  6 Ag 2.77-2.93, 2 Cd 2.90-2.91
Ag 0.6331 0.7347 0.2601 (multiplicity 1)  6 Ag 2.77-2.84
Ag 0.8855 0.5680 0.7633 (multiplicity 1)  3 Cd 2.82-3.02, 3 Ag 2.98-3.14, 3 Na 3.03-3.12

Record 11
Entry from Alexandria: Na2CdAg3 after structural relaxation (PBE).

## Properties
- total magnetization (μB per cell) = 0.00
- DOS(E_F) (states/eV/atom) = 0.29
- polymorph energy (0 for the lowest one) (eV per atom) = 0.014
- theoretical density (Mg/m³) = 5.98
- E (eV for the cell shown) = -25.3

a b c (Å): 5.8004 5.8004 9.1832
angles (deg): 90.00 90.00 120.00
Last column: nearest neighbours and their distance in Å.
Space group P6_3/mmc (No. 194)
Unique sites:
Na 0.3333 0.6667 0.0650 (multiplicity 4)  9 Ag 3.32-3.36, 4 Na 3.40-3.56, 3 Cd 3.40
Cd 0.0000 0.0000 0.0000 (multiplicity 2)  6 Ag 2.87
Ag 0.1712 0.3424 0.7500 (multiplicity 6)  4 Ag 2.82-2.98, 2 Cd 2.87

Record 12
Entry from Alexandria: Na3CdAg after structural relaxation (PBE).

## Properties
- total magnetization (μB per cell) = 0.00
- DOS(E_F) (states/eV/atom) = 0.43
- polymorph energy (0 for the lowest one) (eV per atom) = 0.101
- theoretical density (Mg/m³) = 2.89
- E (eV for the cell shown) = -21.8

a b c (Å): 10.2711 10.2711 5.4616
angles (deg): 90.00 90.00 120.00
Last column: nearest neighbours and their distance in Å.
Space group R3m (No. 160, hexagonal axes)
Unique sites:
Na 0.1754 0.3508 0.0000 (multiplicity 9)  1 Ag 3.01, 2 Cd 3.12-3.27
Cd 0.0000 0.0000 0.0266 (multiplicity 3)  2 Ag 2.70-2.76
Ag 0.0000 0.0000 0.5323 (multiplicity 3)  2 Cd 2.70-2.76, 3 Na 3.01